The following is a DFT calculation (PBE) of an optimized crystal structure of BaCdGa2Sn.

Calculated total energy = -14.85 eV per cell
Space group = Imm2 (44)
Density of states at the Fermi level = 1.36 states/eV per cell
Total magnetization = 0.00 μB per formula unit
Energy of formation from the pure elements = -0.39 eV/atom

a = 4.9025 Å, b = 4.7875 Å, c = 6.6804 Å
α = 111.00°, β = 111.53°, γ = 90.00°
With the nearest neighbours (Å) after each atom.
Atoms (fractional coordinates):
1 Ga 0.6809 0.1809 0.3619  2 Ga 2.76, 2 Sn 2.93
2 Ga 0.0700 0.0700 0.1400  2 Cd 2.74, 2 Ga 2.76, 1 Sn 2.77
3 Ba 0.4461 0.4461 0.8922  8 Ga 3.60-3.91, 4 Sn 3.68, 4 Cd 3.69-3.82
4 Sn 0.8283 0.8283 0.6567  3 Ga 2.77-2.93, 2 Cd 2.94
5 Cd 0.1867 0.6867 0.3735  2 Ga 2.74, 2 Sn 2.94

The following is a DFT calculation (PBE) of an optimized crystal structure of BaCd2GaSn2.

Calculated total energy = -31.84 eV per cell
Space group = Pnnm (58)
Density of states at the Fermi level = 5.30 states/eV per cell
Total magnetization = 0.00 μB per formula unit
Energy of formation from the pure elements = -0.19 eV/atom

a = 5.0952 Å, b = 6.1574 Å, c = 11.9270 Å
α = 90.00°, β = 90.00°, γ = 90.00°
With the nearest neighbours (Å) after each atom.
Atoms (fractional coordinates):
1 Sn 0.5000 0.7510 0.3162  1 Ga 2.68, 3 Cd 2.92-3.00
2 Sn 0.5000 0.2490 0.6838  1 Ga 2.68, 3 Cd 2.92-3.00
3 Sn 0.0000 0.7490 0.8162  1 Ga 2.68, 3 Cd 2.92-3.00
4 Sn 0.0000 0.2510 0.1838  1 Ga 2.68, 3 Cd 2.92-3.00
5 Cd 0.5000 0.7625 0.6960  1 Ga 2.84, 4 Sn 2.92-3.17
6 Cd 0.0000 0.7375 0.1960  1 Ga 2.84, 4 Sn 2.92-3.17
7 Cd 0.0000 0.2625 0.8040  1 Ga 2.84, 4 Sn 2.92-3.17
8 Cd 0.5000 0.2375 0.3040  1 Ga 2.84, 4 Sn 2.92-3.17
9 Ba 0.0000 0.0000 0.5000  6 Sn 3.69-4.08, 6 Cd 3.75-3.97, 4 Ga 4.00
10 Ba 0.5000 0.5000 0.0000  6 Sn 3.69-4.08, 6 Cd 3.75-3.97, 4 Ga 4.00
11 Ga 0.0000 0.0000 0.0000  2 Sn 2.68, 2 Cd 2.84
12 Ga 0.5000 0.5000 0.5000  2 Sn 2.68, 2 Cd 2.84

The following is a DFT calculation (PBE) of an optimized crystal structure of Ba2CdGa4Sn3.

Calculated total energy = -32.67 eV per cell
Space group = P-4m2 (115)
Density of states at the Fermi level = 2.21 states/eV per cell
Total magnetization = 0.00 μB per formula unit
Energy of formation from the pure elements = -0.38 eV/atom

a = 5.0173 Å, b = 5.0173 Å, c = 10.9400 Å
α = 90.00°, β = 90.00°, γ = 90.00°
With the nearest neighbours (Å) after each atom.
Atoms (fractional coordinates):
1 Sn 0.5000 0.0000 0.8780  5 Ga 2.75-2.84
2 Sn 0.0000 0.0000 0.5000  4 Ga 2.87
3 Sn 0.0000 0.5000 0.1220  5 Ga 2.75-2.84
4 Ga 0.5000 0.5000 0.0000  4 Sn 2.84
5 Ga 0.0000 0.5000 0.3731  3 Sn 2.75-2.87, 2 Cd 2.87
6 Ga 0.0000 0.0000 0.0000  4 Sn 2.84
7 Ga 0.5000 0.0000 0.6269  3 Sn 2.75-2.87, 2 Cd 2.87
8 Ba 0.0000 0.5000 0.7541  8 Ga 3.68-3.81, 2 Cd 3.74, 7 Sn 3.74-4.03
9 Ba 0.5000 0.0000 0.2459  8 Ga 3.68-3.81, 2 Cd 3.74, 7 Sn 3.74-4.03
10 Cd 0.5000 0.5000 0.5000  4 Ga 2.87

The following is a DFT calculation (PBE) of an optimized crystal structure of Ba2CdGa3Sn4.

Calculated total energy = -33.67 eV per cell
Space group = P-4m2 (115)
Density of states at the Fermi level = 4.13 states/eV per cell
Total magnetization = 0.00 μB per formula unit
Energy of formation from the pure elements = -0.38 eV/atom

a = 5.1309 Å, b = 5.1309 Å, c = 10.8675 Å
α = 90.00°, β = 90.00°, γ = 90.00°
With the nearest neighbours (Å) after each atom.
Atoms (fractional coordinates):
1 Ba 0.0000 0.5000 0.7482  2 Cd 3.72, 7 Ga 3.72-4.00, 9 Sn 3.75-4.13
2 Ba 0.5000 0.0000 0.2518  2 Cd 3.72, 7 Ga 3.72-4.00, 9 Sn 3.75-4.13
3 Sn 0.0000 0.0000 0.0000  4 Ga 2.86
4 Sn 0.5000 0.0000 0.6321  3 Ga 2.73-2.94, 2 Cd 2.94
5 Sn 0.5000 0.5000 0.0000  4 Ga 2.86
6 Sn 0.0000 0.5000 0.3679  3 Ga 2.73-2.94, 2 Cd 2.94
7 Cd 0.5000 0.5000 0.5000  4 Sn 2.94
8 Ga 0.0000 0.0000 0.5000  4 Sn 2.94
9 Ga 0.0000 0.5000 0.1166  5 Sn 2.73-2.86
10 Ga 0.5000 0.0000 0.8834  5 Sn 2.73-2.86

The following is a DFT calculation (PBE) of an optimized crystal structure of Ba2Cd4GaSn3.

Calculated total energy = -26.48 eV per cell
Space group = P-4m2 (115)
Density of states at the Fermi level = 3.11 states/eV per cell
Total magnetization = 0.00 μB per formula unit
Energy of formation from the pure elements = -0.39 eV/atom

a = 4.8887 Å, b = 4.8887 Å, c = 12.1864 Å
α = 90.00°, β = 90.00°, γ = 90.00°
With the nearest neighbours (Å) after each atom.
Atoms (fractional coordinates):
1 Cd 0.0000 0.0000 0.0000  4 Sn 2.97
2 Cd 0.0000 0.5000 0.3720  3 Sn 2.85-2.90, 2 Ga 2.90
3 Cd 0.5000 0.5000 0.0000  4 Sn 2.97
4 Cd 0.5000 0.0000 0.6280  3 Sn 2.85-2.90, 2 Ga 2.90
5 Ba 0.0000 0.5000 0.7478  6 Sn 3.73-3.88, 8 Cd 3.75-3.93, 2 Ga 3.88
6 Ba 0.5000 0.0000 0.2522  6 Sn 3.73-3.88, 8 Cd 3.75-3.93, 2 Ga 3.88
7 Sn 0.5000 0.0000 0.8619  5 Cd 2.85-2.97
8 Sn 0.0000 0.5000 0.1381  5 Cd 2.85-2.97
9 Sn 0.0000 0.0000 0.5000  4 Cd 2.90
10 Ga 0.5000 0.5000 0.5000  4 Cd 2.90

The following is a DFT calculation (PBE) of an optimized crystal structure of BaCdGaSn.

Calculated total energy = -10.88 eV per cell
Space group = F-43m (216)
Density of states at the Fermi level = 2.87 states/eV per cell
Total magnetization = 0.00 μB per formula unit
Energy of formation from the pure elements = -0.25 eV/atom

a = 5.4607 Å, b = 5.4607 Å, c = 5.4607 Å
α = 60.00°, β = 60.00°, γ = 60.00°
With the nearest neighbours (Å) after each atom.
Atoms (fractional coordinates):
1 Ba 0.5000 0.5000 0.5000  4 Ga 3.34, 4 Cd 3.34
2 Sn 0.0000 0.0000 0.0000  4 Cd 3.34, 4 Ga 3.34
3 Ga 0.7500 0.7500 0.7500  4 Ba 3.34, 4 Sn 3.34
4 Cd 0.2500 0.2500 0.2500  4 Ba 3.34, 4 Sn 3.34

The following is a DFT calculation (PBE) of an optimized crystal structure of BaSrCdGa.

Calculated total energy = -8.83 eV per cell
Space group = F-43m (216)
Density of states at the Fermi level = 5.15 states/eV per cell
Total magnetization = 0.00 μB per formula unit
Energy of formation from the pure elements = -0.32 eV/atom

a = 5.7732 Å, b = 5.7732 Å, c = 5.7732 Å
α = 60.00°, β = 60.00°, γ = 60.00°
With the nearest neighbours (Å) after each atom.
Atoms (fractional coordinates):
1 Ba 0.5000 0.5000 0.5000  4 Ga 3.54, 4 Cd 3.54
2 Sr 0.0000 0.0000 0.0000  4 Cd 3.54, 4 Ga 3.54
3 Cd 0.7500 0.7500 0.7500  4 Sr 3.54, 4 Ba 3.54
4 Ga 0.2500 0.2500 0.2500  4 Ba 3.54, 4 Sr 3.54

The following is a DFT calculation (PBE) of an optimized crystal structure of BaCdGa2Tc.

Calculated total energy = -20.40 eV per cell
Space group = P4/mmm (123)
Density of states at the Fermi level = 3.09 states/eV per cell
Total magnetization = 0.00 μB per formula unit
Energy of formation from the pure elements = -0.23 eV/atom

a = 4.9317 Å, b = 4.9317 Å, c = 5.3134 Å
α = 90.00°, β = 90.00°, γ = 90.00°
With the nearest neighbours (Å) after each atom.
Atoms (fractional coordinates):
1 Cd 0.0000 0.0000 0.5000  2 Tc 2.66
2 Tc 0.0000 0.0000 0.0000  4 Ga 2.47, 2 Cd 2.66
3 Ga 0.5000 0.0000 0.0000  2 Tc 2.47
4 Ga 0.0000 0.5000 0.0000  2 Tc 2.47
5 Ba 0.5000 0.5000 0.5000  4 Cd 3.49, 8 Ga 3.62